# La2NiAs2O | Alexandria | PBE with a Hubbard U | optimized geometry
# **Volume**: 27.31 A^3/atom
# **Calculated density**: 5.1 g/cm3
# **DFT total energy**: -4.6347 eV/atom
data_La2NiAs2O
_chemical_formula_sum 'La2 Ni1 As2 O1'
_space_group_name_H-M_alt 'P 1'
_space_group_IT_number 1
_space_group_name_Hall 'P 1'
_cell_length_a 3.3055
_cell_length_b 3.3055
_cell_length_c 14.9989
_cell_angle_alpha 90.00
_cell_angle_beta 90.00
_cell_angle_gamma 90.00
loop_
_atom_site_label
_atom_site_type_symbol
_atom_site_fract_x
_atom_site_fract_y
_atom_site_fract_z
_atom_site_occupancy
La1 La 0.0000 0.0000 0.1406 1
La2 La 0.0000 0.0000 0.8594 1
Ni1 Ni 0.0000 0.0000 0.5000 1
As1 As 0.0000 0.0000 0.3426 1
As2 As 0.0000 0.0000 0.6574 1
O1 O 0.0000 0.0000 0.0000 1